Run A
Computed, not measured: a relaxed structure of HfTl2In at the PBE level of DFT.

DOS(E_F) ... 0.71 states/eV/atom

Cell lengths 8.193, 8.193, 6.582 Å; angles 51.51, 51.51, 90.00 degrees
Sites, in units of the cell vectors:
Tl 0.875 0.876 0.750
Tl 0.124 0.625 0.250
Tl 0.626 0.125 0.250
Tl 0.375 0.374 0.750
Hf 0.000 0.000 0.000
Hf 0.750 0.250 0.500
In 0.250 0.750 0.500
In 0.500 0.500 0.000


Run B
Computed, not measured: a relaxed structure of HfTl2In at the PBE level of DFT.

DOS(E_F) ... 0.93 states/eV/atom

Cell lengths 5.256, 5.256, 5.256 Å; angles 60.00, 60.00, 60.00 degrees
Sites, in units of the cell vectors:
In 0.000 0.000 0.000
Tl 0.250 0.250 0.250
Tl 0.750 0.750 0.750
Hf 0.500 0.500 0.500


Most stable: run A. Least stable: run B.


Run A
Computed, not measured: a relaxed structure of TmHfIn2 at the PBE level of DFT.

DOS(E_F) ... 0.88 states/eV/atom

Cell lengths 4.369, 4.634, 4.634 Å; angles 90.00, 90.00, 90.00 degrees
Sites, in units of the cell vectors:
Hf 0.500 0.000 0.000
In 0.000 0.000 0.500
In 0.000 0.500 0.000
Tm 0.500 0.500 0.500


Run B
Computed, not measured: a relaxed structure of TmHfIn2 at the PBE level of DFT.

DOS(E_F) ... 0.83 states/eV/atom

Cell lengths 3.767, 3.767, 6.675 Å; angles 90.00, 90.00, 90.00 degrees
Sites, in units of the cell vectors:
Hf 0.500 0.500 0.000
In 0.000 0.000 0.765
In 0.000 0.000 0.235
Tm 0.500 0.500 0.500


Run C
Computed, not measured: a relaxed structure of TmHfIn2 at the PBE level of DFT.

DOS(E_F) ... 0.71 states/eV/atom

Cell lengths 5.118, 5.118, 5.118 Å; angles 60.00, 60.00, 60.00 degrees
Sites, in units of the cell vectors:
Tm 0.000 0.000 0.000
In 0.750 0.750 0.750
In 0.250 0.250 0.250
Hf 0.500 0.500 0.500


Most stable: run A. Least stable: run C.